Hf2PaIn2 | PBE | relaxed

```
Hf2PaIn2
1.0
2.661 -3.726 0.000
2.661 3.726 0.000
0.000 0.000 6.348
Hf Pa In
2 1 2
Direct
0.000 0.000 0.228
0.000 0.000 0.772
0.500 0.500 0.000
0.323 0.677 0.500
0.677 0.323 0.500
```

* total energy: -32.89 eV per cell
* symmetry: Cmmm (65)

LiMgS2O8 | PBE | relaxed

```
LiMgS2O8
1.0
-3.359 3.359 2.893
3.359 -3.359 2.893
3.359 3.359 -2.893
Li Mg S O
1 1 2 8
Direct
0.000 0.000 0.000
0.250 0.750 0.500
0.500 0.500 0.000
0.750 0.250 0.500
0.347 0.170 0.822
0.347 0.525 0.178
0.417 0.092 0.325
0.475 0.653 0.822
0.767 0.092 0.675
0.830 0.653 0.178
0.908 0.233 0.325
0.908 0.583 0.675
```

* ΔE_f (raw): -1822 kJ/mol of formula units
* symmetry: I-4m2 (119)

Nd3PuN4 | PBE | relaxed

```
Nd3PuN4
1.0
6.232 0.000 0.000
0.000 7.196 0.000
-2.086 0.000 5.868
Nd Pu N
6 2 8
Direct
0.000 0.125 0.250
0.000 0.375 0.750
0.000 0.625 0.250
0.000 0.875 0.750
0.500 0.125 0.750
0.500 0.875 0.250
0.500 0.376 0.250
0.500 0.624 0.750
0.258 0.137 0.013
0.258 0.863 0.513
0.273 0.386 0.496
0.273 0.614 0.996
0.727 0.386 0.004
0.727 0.614 0.504
0.742 0.137 0.487
0.742 0.863 0.987
```

* ΔE to the lowest computed polymorph: 0 meV/atom
* ΔE_f (raw): -1033 kJ/mol of formula units
* symmetry: P2/c (13)

TmUCo4 | PBE | relaxed

```
TmUCo4
1.0
0.000 3.507 3.507
3.507 0.000 3.507
3.507 3.507 0.000
Tm U Co
1 1 4
Direct
0.000 0.000 0.000
0.750 0.750 0.750
0.375 0.375 0.375
0.375 0.375 0.875
0.375 0.875 0.375
0.875 0.375 0.375
```

* ΔE to the lowest computed polymorph: 0 meV/atom
* symmetry: F-43m (216)

Calculated volume, record by record: 125.9, 130.5, 263.2, 86.3 Å³ per cell